one) Below is a geometry-optimized KInP2O structure, with properties calculated at the PBE-GGA level.

```
data_KInP2O
_space_group_name_H-M_alt 'P 4/m m m'
_space_group_IT_number 123
_space_group_name_Hall '-P 4 2'
_cell_length_a 5.479
_cell_length_b 5.479
_cell_length_c 4.399
_cell_angle_alpha 90.00
_cell_angle_beta 90.00
_cell_angle_gamma 90.00
loop_
_atom_site_label
_atom_site_fract_x
_atom_site_fract_y
_atom_site_fract_z
K1 0.000 0.000 0.000
In1 0.500 0.500 0.500
P1 0.000 0.500 0.000
O1 0.000 0.000 0.500
```



two) Below is a geometry-optimized KInP2O structure, with properties calculated at the PBE-GGA level.

```
data_KInP2O
_space_group_name_H-M_alt 'P 4/m m m'
_space_group_IT_number 123
_space_group_name_Hall '-P 4 2'
_cell_length_a 5.370
_cell_length_b 5.370
_cell_length_c 4.322
_cell_angle_alpha 90.00
_cell_angle_beta 90.00
_cell_angle_gamma 90.00
loop_
_atom_site_label
_atom_site_fract_x
_atom_site_fract_y
_atom_site_fract_z
K1 0.000 0.000 0.000
In1 0.500 0.500 0.500
P1 0.000 0.500 0.500
O1 0.500 0.500 0.000
```



The structure with the most favorable energy is two); the runner-up is 1034 meV/atom above it.